Entry P
A geometry-optimized ReMoH structure. Source: Alexandria via LeMat-Bulk, functional PBE.

Properties
Spin magnetization (μB/cell): 0.0

Structure (CIF):
```
data_ReMoH
_chemical_formula_sum 'Re2 Mo2 H2'
_space_group_name_H-M_alt 'I 4 m m'
_space_group_IT_number 107
_space_group_name_Hall 'I 4 -2'
_cell_length_a 2.666
_cell_length_b 2.666
_cell_length_c 9.919
_cell_angle_alpha 90.00
_cell_angle_beta 90.00
_cell_angle_gamma 90.00
loop_
_atom_site_label
_atom_site_type_symbol
_atom_site_fract_x
_atom_site_fract_y
_atom_site_fract_z
Re1 Re 0.000 0.000 0.000
Mo1 Mo 0.000 0.000 0.269
H1 H 0.000 0.000 0.709
```

=====

Entry Q
A geometry-optimized ReMoH structure. Source: Alexandria via LeMat-Bulk, functional PBE.

Properties
Spin magnetization (μB/cell): 0.0

Structure (CIF):
```
data_ReMoH
_chemical_formula_sum 'Re2 Mo2 H2'
_space_group_name_H-M_alt 'P -1'
_space_group_IT_number 2
_cell_length_a 2.842
_cell_length_b 4.937
_cell_length_c 4.939
_cell_angle_alpha 80.96
_cell_angle_beta 73.36
_cell_angle_gamma 89.94
loop_
_space_group_symop_operation_xyz
'x,y,z'
'-x,-y,-z'
loop_
_atom_site_label
_atom_site_type_symbol
_atom_site_fract_x
_atom_site_fract_y
_atom_site_fract_z
Re1 Re 0.000 0.000 0.000
Re2 Re 0.500 0.500 0.000
Mo1 Mo 0.244 0.753 0.509
H1 H 0.124 0.369 0.756
```

=====

Energies in kJ/mol of atoms, measured from the most stable structure: entry P 44.9; entry Q 0.0.

=====

Entry P
A geometry-optimized ReMoH structure. Source: Alexandria via LeMat-Bulk, functional PBE.

Properties
Spin magnetization (μB/cell): 0.0

Structure (CIF):
```
data_ReMoH
_chemical_formula_sum 'Re1 Mo1 H1'
_space_group_name_H-M_alt 'P 4/m m m'
_space_group_IT_number 123
_space_group_name_Hall '-P 4 2'
_cell_length_a 2.865
_cell_length_b 2.865
_cell_length_c 3.986
_cell_angle_alpha 90.00
_cell_angle_beta 90.00
_cell_angle_gamma 90.00
loop_
_atom_site_label
_atom_site_type_symbol
_atom_site_fract_x
_atom_site_fract_y
_atom_site_fract_z
Re1 Re 0.000 0.000 0.000
Mo1 Mo 0.500 0.500 0.500
H1 H 0.000 0.000 0.500
```

=====

Entry Q
A geometry-optimized ReMoH structure. Source: Alexandria via LeMat-Bulk, functional PBE.

Properties
Spin magnetization (μB/cell): 0.0

Structure (CIF):
```
data_ReMoH
_chemical_formula_sum 'Re1 Mo1 H1'
_space_group_name_H-M_alt 'P m m 2'
_space_group_IT_number 25
_cell_length_a 2.871
_cell_length_b 2.872
_cell_length_c 4.135
_cell_angle_alpha 90.00
_cell_angle_beta 90.00
_cell_angle_gamma 90.00
loop_
_space_group_symop_operation_xyz
'x,y,z'
'-x,-y,z'
'-x,y,z'
'x,-y,z'
loop_
_atom_site_label
_atom_site_type_symbol
_atom_site_fract_x
_atom_site_fract_y
_atom_site_fract_z
Re1 Re 0.000 0.000 0.000
Mo1 Mo 0.500 0.500 0.553
H1 H 0.500 0.000 0.267
```

=====

Energies in kJ/mol of atoms, measured from the most stable structure: entry P 0.0; entry Q 6.6.

=====

Entry P
A geometry-optimized Re2MoH2 structure. Source: Alexandria via LeMat-Bulk, functional PBE.

Properties
Spin magnetization (μB/cell): 0.0

Structure (CIF):
```
data_Re2MoH2
_chemical_formula_sum 'Re4 Mo2 H4'
_space_group_name_H-M_alt 'P 4/m b m'
_space_group_IT_number 127
_space_group_name_Hall '-P 4 2ab'
_cell_length_a 5.978
_cell_length_b 5.978
_cell_length_c 2.994
_cell_angle_alpha 90.00
_cell_angle_beta 90.00
_cell_angle_gamma 90.00
loop_
_atom_site_label
_atom_site_type_symbol
_atom_site_fract_x
_atom_site_fract_y
_atom_site_fract_z
Re1 Re 0.146 0.354 0.000
Mo1 Mo 0.000 0.000 0.500
H1 H 0.216 0.716 0.500
```

=====

Entry Q
A geometry-optimized Re2MoH2 structure. Source: Alexandria via LeMat-Bulk, functional PBE.

Properties
Spin magnetization (μB/cell): 0.0

Structure (CIF):
```
data_Re2MoH2
_chemical_formula_sum 'Re4 Mo2 H4'
_space_group_name_H-M_alt 'I 4/m m m'
_space_group_IT_number 139
_space_group_name_Hall '-I 4 2'
_cell_length_a 2.901
_cell_length_b 2.901
_cell_length_c 12.302
_cell_angle_alpha 90.00
_cell_angle_beta 90.00
_cell_angle_gamma 90.00
loop_
_atom_site_label
_atom_site_type_symbol
_atom_site_fract_x
_atom_site_fract_y
_atom_site_fract_z
Re1 Re 0.000 0.000 0.149
Mo1 Mo 0.000 0.000 0.500
H1 H 0.000 0.500 0.250
```

=====

Energies in kJ/mol of atoms, measured from the most stable structure: entry P 13.8; entry Q 0.0.

=====

Entry P
A geometry-optimized ReMoH2 structure. Source: Alexandria via LeMat-Bulk, functional PBE.

Properties
Spin magnetization (μB/cell): 0.0

Structure (CIF):
```
data_ReMoH2
_chemical_formula_sum 'Re4 Mo4 H8'
_space_group_name_H-M_alt 'I -4 2 d'
_space_group_IT_number 122
_space_group_name_Hall 'I -4 2bw'
_cell_length_a 4.192
_cell_length_b 4.192
_cell_length_c 8.398
_cell_angle_alpha 90.00
_cell_angle_beta 90.00
_cell_angle_gamma 90.00
loop_
_atom_site_label
_atom_site_type_symbol
_atom_site_fract_x
_atom_site_fract_y
_atom_site_fract_z
Re1 Re 0.000 0.000 0.000
Mo1 Mo 0.000 0.000 0.500
H1 H 0.243 0.250 0.125
```

=====

Entry Q
A geometry-optimized ReMoH2 structure. Source: Alexandria via LeMat-Bulk, functional PBE.

Properties
Spin magnetization (μB/cell): 0.0

Structure (CIF):
```
data_ReMoH2
_chemical_formula_sum 'Re4 Mo4 H8'
_space_group_name_H-M_alt 'F m -3 m'
_space_group_IT_number 225
_space_group_name_Hall '-F 4 2 3'
_cell_length_a 5.326
_cell_length_b 5.326
_cell_length_c 5.326
_cell_angle_alpha 90.00
_cell_angle_beta 90.00
_cell_angle_gamma 90.00
loop_
_atom_site_label
_atom_site_type_symbol
_atom_site_fract_x
_atom_site_fract_y
_atom_site_fract_z
Re1 Re 0.000 0.000 0.000
Mo1 Mo 0.000 0.000 0.500
H1 H 0.250 0.250 0.250
```

=====

Entry R
A geometry-optimized ReMoH2 structure. Source: Alexandria via LeMat-Bulk, functional PBE.

Properties
Spin magnetization (μB/cell): 0.0

Structure (CIF):
```
data_ReMoH2
_chemical_formula_sum 'Re3 Mo3 H6'
_space_group_name_H-M_alt 'R -3 m'
_space_group_IT_number 166
_space_group_name_Hall '-R 3 2"'
_cell_length_a 2.9295
_cell_length_b 2.9295
_cell_length_c 14.8455
_cell_angle_alpha 90.00
_cell_angle_beta 90.00
_cell_angle_gamma 120.00
loop_
_atom_site_label
_atom_site_type_symbol
_atom_site_fract_x
_atom_site_fract_y
_atom_site_fract_z
Re1 Re 0.0000 0.0000 0.0000
Mo1 Mo 0.0000 0.0000 0.5000
H1 H 0.0000 0.0000 0.1185
```

=====

Energies in kJ/mol of atoms, measured from the most stable structure: entry P 0.0; entry Q 66.2; entry R 1.4.

=====

Entry P
A geometry-optimized ReMo2HRh structure. Source: Alexandria via LeMat-Bulk, functional PBE.

Properties
Spin magnetization (μB/cell): 0.0

Structure (CIF):
```
data_ReMo2HRh
_chemical_formula_sum 'Re1 Mo2 H1 Rh1'
_space_group_name_H-M_alt 'P 4/m m m'
_space_group_IT_number 123
_space_group_name_Hall '-P 4 2'
_cell_length_a 3.989
_cell_length_b 3.989
_cell_length_c 3.940
_cell_angle_alpha 90.00
_cell_angle_beta 90.00
_cell_angle_gamma 90.00
loop_
_atom_site_label
_atom_site_type_symbol
_atom_site_fract_x
_atom_site_fract_y
_atom_site_fract_z
Re1 Re 0.000 0.000 0.000
Mo1 Mo 0.000 0.500 0.500
H1 H 0.000 0.000 0.500
Rh1 Rh 0.500 0.500 0.000
```

=====

Entry Q
A geometry-optimized ReMo2HRh structure. Source: Alexandria via LeMat-Bulk, functional PBE.

Properties
Spin magnetization (μB/cell): 0.0

Structure (CIF):
```
data_ReMo2HRh
_chemical_formula_sum 'Re1 Mo2 H1 Rh1'
_space_group_name_H-M_alt 'P 4/m m m'
_space_group_IT_number 123
_space_group_name_Hall '-P 4 2'
_cell_length_a 4.872
_cell_length_b 4.872
_cell_length_c 3.042
_cell_angle_alpha 90.00
_cell_angle_beta 90.00
_cell_angle_gamma 90.00
loop_
_atom_site_label
_atom_site_type_symbol
_atom_site_fract_x
_atom_site_fract_y
_atom_site_fract_z
Re1 Re 0.000 0.000 0.000
Mo1 Mo 0.000 0.500 0.500
H1 H 0.500 0.500 0.000
Rh1 Rh 0.500 0.500 0.500
```

=====

Energies in kJ/mol of atoms, measured from the most stable structure: entry P 0.0; entry Q 91.3.

=====

Entry P
A geometry-optimized ReMo2HRu structure. Source: Alexandria via LeMat-Bulk, functional PBE.

Properties
Spin magnetization (μB/cell): 0.0

Structure (CIF):
```
data_ReMo2HRu
_chemical_formula_sum 'Re1 Mo2 H1 Ru1'
_space_group_name_H-M_alt 'P 4/m m m'
_space_group_IT_number 123
_space_group_name_Hall '-P 4 2'
_cell_length_a 4.000
_cell_length_b 4.000
_cell_length_c 3.910
_cell_angle_alpha 90.00
_cell_angle_beta 90.00
_cell_angle_gamma 90.00
loop_
_atom_site_label
_atom_site_type_symbol
_atom_site_fract_x
_atom_site_fract_y
_atom_site_fract_z
Re1 Re 0.000 0.000 0.000
Mo1 Mo 0.000 0.500 0.500
H1 H 0.500 0.500 0.500
Ru1 Ru 0.500 0.500 0.000
```

=====

Entry Q
A geometry-optimized ReMo2HRu structure. Source: Alexandria via LeMat-Bulk, functional PBE.

Properties
Spin magnetization (μB/cell): 0.0

Structure (CIF):
```
data_ReMo2HRu
_chemical_formula_sum 'Re1 Mo2 H1 Ru1'
_space_group_name_H-M_alt 'P 4/m m m'
_space_group_IT_number 123
_space_group_name_Hall '-P 4 2'
_cell_length_a 3.986
_cell_length_b 3.986
_cell_length_c 3.946
_cell_angle_alpha 90.00
_cell_angle_beta 90.00
_cell_angle_gamma 90.00
loop_
_atom_site_label
_atom_site_type_symbol
_atom_site_fract_x
_atom_site_fract_y
_atom_site_fract_z
Re1 Re 0.000 0.000 0.000
Mo1 Mo 0.000 0.500 0.500
H1 H 0.000 0.000 0.500
Ru1 Ru 0.500 0.500 0.000
```

=====

Energies in kJ/mol of atoms, measured from the most stable structure: entry P 0.0; entry Q 3.4.

=====

Entry P
A geometry-optimized Re2MoHRu structure. Source: Alexandria via LeMat-Bulk, functional PBE.

Properties
Spin magnetization (μB/cell): 0.0

Structure (CIF):
```
data_Re2MoHRu
_chemical_formula_sum 'Re2 Mo1 H1 Ru1'
_space_group_name_H-M_alt 'P 4/m m m'
_space_group_IT_number 123
_space_group_name_Hall '-P 4 2'
_cell_length_a 3.961
_cell_length_b 3.961
_cell_length_c 3.936
_cell_angle_alpha 90.00
_cell_angle_beta 90.00
_cell_angle_gamma 90.00
loop_
_atom_site_label
_atom_site_type_symbol
_atom_site_fract_x
_atom_site_fract_y
_atom_site_fract_z
Re1 Re 0.000 0.500 0.000
Mo1 Mo 0.000 0.000 0.500
H1 H 0.500 0.500 0.000
Ru1 Ru 0.500 0.500 0.500
```

=====

Entry Q
A geometry-optimized Re2MoHRu structure. Source: Alexandria via LeMat-Bulk, functional PBE.

Properties
Spin magnetization (μB/cell): 0.0

Structure (CIF):
```
data_Re2MoHRu
_chemical_formula_sum 'Re2 Mo1 H1 Ru1'
_space_group_name_H-M_alt 'P 4/m m m'
_space_group_IT_number 123
_space_group_name_Hall '-P 4 2'
_cell_length_a 3.943
_cell_length_b 3.943
_cell_length_c 3.976
_cell_angle_alpha 90.00
_cell_angle_beta 90.00
_cell_angle_gamma 90.00
loop_
_atom_site_label
_atom_site_type_symbol
_atom_site_fract_x
_atom_site_fract_y
_atom_site_fract_z
Re1 Re 0.000 0.500 0.000
Mo1 Mo 0.000 0.000 0.500
H1 H 0.000 0.000 0.000
Ru1 Ru 0.500 0.500 0.500
```

=====

Energies in kJ/mol of atoms, measured from the most stable structure: entry P 0.0; entry Q 1.9.